Compound: Tb8Pm2Hg
Source: Alexandria
Functional: PBE
Structure: optimized geometry

```
Tb8Pm2Hg
1.0
5.508 0.000 0.000
0.000 7.504 -0.258
-2.754 -3.452 8.760
Tb Pm Hg
8 2 1
direct
0.366 0.601 0.732 Tb
0.634 0.870 0.269 Tb
0.817 0.817 0.634 Tb
0.000 0.254 0.000 Tb
0.183 0.183 0.366 Tb
0.366 0.130 0.731 Tb
0.634 0.399 0.268 Tb
0.000 0.746 0.000 Tb
0.808 0.308 0.616 Pm
0.192 0.692 0.384 Pm
0.500 0.000 0.000 Hg
```

Values from the calculation:
Total moment   0.000 μB/f.u.
Distance to the lowest polymorph of the same formula   41 meV/atom
Energy relative to the elements   12 meV per atom
Uncorrected energy   -4.247 eV/atom
D(E_F)   18.22 states/eV/cell